A plane-wave DFT calculation with PBE-GGA was carried out for Tb2CeHoSc after structural relaxation.

The structure belongs to space group Pmma (No. 51); the cell edges are 5.7874, 7.6589 and 6.8509 Å and the angles 90.00°, 90.00° and 90.00°. The distinct sites, in fractional coordinates, are Tb at (0.2500, 0.2091, 0.1761), Ce at (0.0000, 0.5000, 0.5000), Ho at (0.2500, 0.0000, 0.6613) and Sc at (0.2500, 0.5000, 0.8951).

Its formation energy from the elements is 25 kJ/mol of atoms. As for the magnetization: 2.63 μB/cell.


A plane-wave DFT calculation with PBE-GGA was carried out for Sc2ZnSe after structural relaxation.

The structure belongs to space group R-3m (No. 166, hexagonal axes); the cell edges are 3.6834, 3.6834 and 21.1531 Å and the angles 90.00°, 90.00° and 120.00°. The distinct sites, in fractional coordinates, are Sc at (0.0000, 0.0000, 0.2458), Zn at (0.0000, 0.0000, 0.0000) and Se at (0.0000, 0.0000, 0.5000).

For the formation energy (no corrections), the calculation gives -86.7 kJ per mole of atoms. As for the magnetization: 0.00 μB/cell.


A plane-wave DFT calculation with PBE-GGA was carried out for CsNdMn2Se4 after structural relaxation.

The structure belongs to space group I222 (No. 23); the cell edges are 7.0369, 8.6713 and 9.3599 Å and the angles 90.00°, 90.00° and 90.00°. The distinct sites, in fractional coordinates, are Cs at (0.0000, 0.0000, 0.0000), Nd at (0.0000, 0.0000, 0.5000), Mn at (0.0000, 0.5000, 0.1038) and Se at (0.2390, 0.3353, 0.8218).

For the formation energy (no corrections), the calculation gives -60.2 kJ per mole of atoms. As for the magnetization: 7.93 μB/cell.


A plane-wave DFT calculation with PBE-GGA was carried out for CdCo2Pb after structural relaxation.

The structure belongs to space group P4/mmm (No. 123); the cell edges are 4.4755, 4.4755 and 3.2273 Å and the angles 90.00°, 90.00° and 90.00°. The distinct sites, in fractional coordinates, are Cd at (0.0000, 0.0000, 0.0000), Co at (0.0000, 0.5000, 0.5000) and Pb at (0.5000, 0.5000, 0.0000).

Its formation energy from the elements is 44 kJ/mol of atoms. As for the magnetization: 1.55 μB/cell.


A plane-wave DFT calculation with PBE-GGA was carried out for SiMoBr2 after structural relaxation.

The structure belongs to space group Fm-3m (No. 225); the cell edges are 6.6769, 6.6769 and 6.6769 Å and the angles 90.00°, 90.00° and 90.00°. The distinct sites, in fractional coordinates, are Si at (0.0000, 0.0000, 0.0000), Mo at (0.0000, 0.0000, 0.5000) and Br at (0.2500, 0.2500, 0.2500).

For the formation energy (no corrections), the calculation gives 87.8 kJ per mole of atoms. As for the magnetization: 5.14 μB/cell.


A plane-wave DFT calculation with PBE-GGA was carried out for AsRhBr2Cl after structural relaxation.

The structure belongs to space group P4/mmm (No. 123); the cell edges are 5.0763, 5.0763 and 5.1664 Å and the angles 90.00°, 90.00° and 90.00°. The distinct sites, in fractional coordinates, are As at (0.0000, 0.0000, 0.0000), Rh at (0.5000, 0.5000, 0.0000), Br at (0.0000, 0.5000, 0.5000) and Cl at (0.0000, 0.0000, 0.5000).

For the formation energy (no corrections), the calculation gives 122.6 kJ per mole of atoms. As for the magnetization: 2.10 μB/cell.


A plane-wave DFT calculation with PBE-GGA was carried out for LaHo2Sb after structural relaxation.

The structure belongs to space group Fm-3m (No. 225); the cell edges are 7.6430, 7.6430 and 7.6430 Å and the angles 90.00°, 90.00° and 90.00°. The distinct sites, in fractional coordinates, are La at (0.0000, 0.0000, 0.0000), Ho at (0.2500, 0.2500, 0.2500) and Sb at (0.0000, 0.0000, 0.5000).

For the formation energy (no corrections), the calculation gives -24.6 kJ per mole of atoms. As for the magnetization: 0.01 μB/cell.


A plane-wave DFT calculation with PBE-GGA was carried out for CaHgMo2 after structural relaxation.

The structure belongs to space group Pmmm (No. 47); the cell edges are 2.7910, 5.0408 and 5.6495 Å and the angles 90.00°, 90.00° and 90.00°. The distinct sites, in fractional coordinates, are Ca at (0.0000, 0.0000, 0.0000), Hg at (0.0000, 0.0000, 0.5000) and Mo at (0.5000, 0.5000, 0.2258).

Its formation energy from the elements is 69 kJ/mol of atoms. As for the magnetization: 0.00 μB/cell.


A plane-wave DFT calculation with PBE-GGA was carried out for Na3Er2BiO6 after structural relaxation.

The structure belongs to space group C2/m (No. 12); the cell edges are 5.9587, 10.3203 and 5.9584 Å and the angles 90.00°, 109.54° and 90.00°. The distinct sites, in fractional coordinates, are Na at (0.0000, 0.0000, 0.0000), Na at (0.0000, 0.3330, 0.0000), Er at (0.0000, 0.1667, 0.5000), Bi at (0.0000, 0.5000, 0.5000), O at (0.2219, 0.0000, 0.7167) and O at (0.2469, 0.3249, 0.7145).

For the formation energy (no corrections), the calculation gives -226.2 kJ per mole of atoms. As for the magnetization: 0.00 μB/cell.


A plane-wave DFT calculation with PBE-GGA was carried out for SrNi2Au after structural relaxation.

The structure belongs to space group P4/mmm (No. 123); the cell edges are 4.2850, 4.2850 and 3.8667 Å and the angles 90.00°, 90.00° and 90.00°. The distinct sites, in fractional coordinates, are Sr at (0.0000, 0.0000, 0.0000), Ni at (0.0000, 0.5000, 0.5000) and Au at (0.5000, 0.5000, 0.0000).

Its formation energy from the elements is 13 kJ/mol of atoms. As for the magnetization: 0.20 μB/cell.


A plane-wave DFT calculation with PBE-GGA was carried out for NaAs3 after structural relaxation.

The structure belongs to space group C2/m (No. 12); the cell edges are 9.9317, 7.2510 and 6.0753 Å and the angles 90.00°, 116.56° and 90.00°. The distinct sites, in fractional coordinates, are Na at (0.1576, 0.0000, 0.3370), As at (0.0143, 0.5000, 0.2171) and As at (0.1452, 0.2290, 0.8013).

Its formation energy from the elements is -15 kJ/mol of atoms. As for the magnetization: 0.00 μB/cell.


A plane-wave DFT calculation with PBE-GGA was carried out for Nd3SmTh2Sb6 after structural relaxation.

The structure belongs to space group C2/m (No. 12); the cell edges are 19.6636, 4.5145 and 9.0154 Å and the angles 90.00°, 103.33° and 90.00°. The distinct sites, in fractional coordinates, are Nd at (0.0000, 0.0000, 0.0000), Nd at (0.1662, 0.5000, 0.3339), Sm at (0.0000, 0.0000, 0.5000), Th at (0.1653, 0.5000, 0.8309), Sb at (0.9998, 0.5000, 0.2520), Sb at (0.1659, 0.0000, 0.5836) and Sb at (0.1674, 0.0000, 0.0822).

For the formation energy (no corrections), the calculation gives -107.1 kJ per mole of atoms. As for the magnetization: 0.00 μB/cell.